Entry 1:
Cu2P | PBE | relaxed

a b c (Å): 4.278 4.278 2.477
angles (deg): 90.00 90.00 120.00
Element x y z (fractional)
Cu (0.333, 0.667, 0.500)
Cu (0.667, 0.333, 0.500)
P (0.000, 0.000, 0.000)

Values from the calculation:
ΔH_f (0 K) (meV per atom): 356
Total magnetic moment (μB/f.u.): 0.00
SG: P6/mmm

Entry 2:
La3PmTm3 | PBE | relaxed

a b c (Å): 8.299 8.299 8.299
angles (deg): 69.44 69.44 69.44
Element x y z (fractional)
La (0.730, 0.165, 0.872)
La (0.165, 0.872, 0.730)
La (0.872, 0.730, 0.165)
La (0.128, 0.270, 0.835)
La (0.835, 0.128, 0.270)
La (0.270, 0.835, 0.128)
Pm (0.409, 0.409, 0.409)
Pm (0.591, 0.591, 0.591)
Tm (0.689, 0.555, 0.974)
Tm (0.974, 0.689, 0.555)
Tm (0.555, 0.974, 0.689)
Tm (0.445, 0.026, 0.311)
Tm (0.026, 0.311, 0.445)
Tm (0.311, 0.445, 0.026)

Values from the calculation:
ΔH_f (0 K) (meV per atom): 135
Total magnetic moment (μB/f.u.): 0.00
SG: R-3
Relative energy among the computed polymorphs (eV per atom): 0.103

Entry 3:
Ti2GeHPd | PBE | relaxed

a b c (Å): 4.038 4.038 3.959
angles (deg): 90.00 90.00 90.00
Element x y z (fractional)
H (0.000, 0.000, 0.000)
Ge (0.500, 0.500, 0.500)
Pd (0.000, 0.000, 0.500)
Ti (0.000, 0.500, 0.000)
Ti (0.500, 0.000, 0.000)

Values from the calculation:
Total magnetic moment (μB/f.u.): 0.00
Uncorrected energy (Ry/atom): -0.464
SG: P4/mmm

Entry 4:
Ca12Mg3Cd | PBE | relaxed

a b c (Å): 5.310 5.310 20.314
angles (deg): 90.00 90.00 90.00
Element x y z (fractional)
Ca (0.500, 0.500, 0.000)
Ca (0.500, 0.500, 0.247)
Ca (0.500, 0.500, 0.500)
Ca (0.500, 0.500, 0.753)
Ca (0.500, 0.000, 0.121)
Ca (0.500, 0.000, 0.374)
Ca (0.500, 0.000, 0.626)
Ca (0.500, 0.000, 0.879)
Ca (0.000, 0.500, 0.121)
Ca (0.000, 0.500, 0.374)
Ca (0.000, 0.500, 0.626)
Ca (0.000, 0.500, 0.879)
Mg (0.000, 0.000, 0.248)
Mg (0.000, 0.000, 0.500)
Mg (0.000, 0.000, 0.752)
Cd (0.000, 0.000, 0.000)

Values from the calculation:
ΔH_f (0 K) (meV per atom): -39
Total magnetic moment (μB/f.u.): 0.00
SG: P4/mmm

Entry 5:
PmScS2 | PBE | relaxed

a b c (Å): 3.717 3.717 6.949
angles (deg): 90.00 90.00 120.00
Element x y z (fractional)
Pm (0.000, 0.500, 0.500)
Sc (0.000, 0.500, 0.000)
S (0.667, 0.833, 0.778)
S (0.333, 0.167, 0.222)

Values from the calculation:
Total magnetic moment (μB/f.u.): 0.00
SG: P-3m1
Relative energy among the computed polymorphs (eV per atom): 0.079

Entry 6:
CrFeIrW | PBE | relaxed

a b c (Å): 4.250 4.250 4.250
angles (deg): 60.00 60.00 60.00
Last column: magnetic moment on the atom in μB.
Element x y z (fractional)
Cr (0.500, 0.500, 0.500)  0.97
Ir (0.750, 0.750, 0.750)  0.38
Fe (0.000, 0.000, 0.000)  2.29
W (0.250, 0.250, 0.250)  -0.24

Values from the calculation:
ΔH_f (0 K) (meV per atom): 83
Total magnetic moment (μB/f.u.): 3.41
SG: F-43m